Entry 1:
Co2TeSe: PBEsol geometry, SCAN.

Lattice parameters (Å, degrees): 5.271 5.271 5.271 139.78 139.78 58.18
Fractional positions:
Co1 0.000 0.000 0.000
Co2 0.750 0.250 0.500
Te1 0.250 0.750 0.500
Se1 0.500 0.500 0.000

Energy relative to the elements, uncorrected (meV per atom): 581

---

Entry 2:
TaReAu2: PBEsol geometry, SCAN.

Lattice parameters (Å, degrees): 4.877 4.877 4.877 131.03 131.03 71.77
Fractional positions:
Ta1 0.000 0.000 0.000
Re1 0.250 0.750 0.500
Au1 0.500 0.500 0.000
Au2 0.750 0.250 0.500

Energy relative to the lowest polymorph listed for this composition (eV per atom): 0.000
Energy of formation from the pure elements (eV/atom): 0.079

---

Entry 3:
Ga2BiP2: PBEsol geometry, SCAN.

Lattice parameters (Å, degrees): 5.407 5.407 5.407 127.72 127.72 77.08
Fractional positions:
Ga1 0.145 0.145 0.000
Ga2 0.855 0.855 0.000
Bi1 0.500 0.500 0.000
P1 0.250 0.750 0.500
P2 0.750 0.250 0.500

Energy of formation from the pure elements (eV/atom): 0.279

---

Entry 4:
NbAsP2Cl: PBEsol geometry, SCAN.

Lattice parameters (Å, degrees): 4.654 4.654 4.544 90.00 90.00 90.00
Fractional positions:
Nb1 0.000 0.000 0.000
As1 0.500 0.500 0.500
P1 0.000 0.500 0.500
P2 0.500 0.000 0.500
Cl1 0.500 0.500 0.000

Energy relative to the elements, uncorrected (meV per atom): 903

---

Copy entry 1 word for word.
Co2TeSe: PBEsol geometry, SCAN.

Lattice parameters (Å, degrees): 5.271 5.271 5.271 139.78 139.78 58.18
Fractional positions:
Co1 0.000 0.000 0.000
Co2 0.750 0.250 0.500
Te1 0.250 0.750 0.500
Se1 0.500 0.500 0.000

Energy relative to the elements, uncorrected (meV per atom): 581